# 1
The following is a meta-GGA SCAN calculation of TlAg2Os at its PBEsol-relaxed geometry, from Alexandria.

Lattice parameters (Å, degrees): 3.964 3.964 8.773 90.00 90.00 90.00
Space group I4/mmm (No. 139)
Inequivalent atoms, fractional coordinates:
1 Tl 0.000 0.000 0.000 (multiplicity 2)
2 Ag 0.000 0.500 0.250 (multiplicity 4)
3 Os 0.000 0.000 0.500 (multiplicity 2)

Results
D(E_F)	1.825	states/eV/f.u.
density	14703	kg/m3
offset from the most stable computed form	0.072	eV/atom
DFT formation energy	0.84	eV/atom

---

# 2
The following is a meta-GGA SCAN calculation of MgSc7 at its PBEsol-relaxed geometry, from Alexandria.

Lattice parameters (Å, degrees): 9.096 9.096 9.096 90.00 90.00 90.00
Space group Fm-3m (No. 225)
Inequivalent atoms, fractional coordinates:
1 Mg 0.000 0.000 0.000 (multiplicity 4)
2 Sc 0.000 0.000 0.500 (multiplicity 4)
3 Sc 0.000 0.250 0.250 (multiplicity 24)

Results
D(E_F)	12.263	states/eV/f.u.
density	2992	kg/m3
DFT formation energy	0.07	eV/atom

---

# 3
The following is a meta-GGA SCAN calculation of Mn3Ni20P6 at its PBEsol-relaxed geometry, from Alexandria.

Lattice parameters (Å, degrees): 10.899 10.899 10.899 90.00 90.00 90.00
Space group Fm-3m (No. 225)
Inequivalent atoms, fractional coordinates:
1 Mn 0.000 0.000 0.000 (multiplicity 4)
2 Mn 0.250 0.250 0.250 (multiplicity 8)
3 Ni 0.000 0.174 0.174 (multiplicity 48)
4 Ni 0.118 0.118 0.382 (multiplicity 32)
5 P 0.000 0.000 0.265 (multiplicity 24)

Results
D(E_F)	8.037	states/eV/f.u.
density	7822	kg/m3
DFT formation energy	-0.45	eV/atom

---

# 4
The following is a meta-GGA SCAN calculation of ZnTeCl2 at its PBEsol-relaxed geometry, from Alexandria.

Lattice parameters (Å, degrees): 4.344 4.344 8.828 90.00 90.00 90.00
Space group I4/mmm (No. 139)
Inequivalent atoms, fractional coordinates:
1 Zn 0.000 0.000 0.000 (multiplicity 2)
2 Te 0.000 0.000 0.500 (multiplicity 2)
3 Cl 0.000 0.500 0.250 (multiplicity 4)

Results
D(E_F)	3.264	states/eV/f.u.
ΔE_f (raw)	0.183	eV per atom
density	5261	kg/m3
offset from the most stable computed form	0.707	eV/atom